Here is an optimized crystal structure of CaMoSe3 from the Alexandria database. Energies are from PBE.

Unit cell a=5.3738 b=5.3738 c=5.3738 alpha=90.00 beta=90.00 gamma=90.00
With the nearest neighbours (Å) after each atom.
Space group Pm-3m (No. 221)
Symmetry-distinct sites (fractional):
Ca  0.0000  0.0000  0.0000 x1  6 Se 2.69
Mo  0.5000  0.5000  0.5000 x1  12 Se 3.80
Se  0.0000  0.0000  0.5000 x3  2 Ca 2.69

Calculated values
Uncorrected energy ... -4.028 eV per atom
Spin magnetization ... 0.40 μB per atom
Theoretical density ... 4.0 g/cm³
Polymorph energy (0 for the lowest one) ... 5.81 eV per formula unit
Formation energy from raw total energies ... 630 meV per atom